# BaScTa2 GGA-PBE optimized geometry
data_BaScTa2
_chemical_formula_sum 'Ba1 Sc1 Ta2'
_cell_length_a 3.7106
_cell_length_b 3.7106
_cell_length_c 7.5636
_cell_angle_alpha 90.00
_cell_angle_beta 90.00
_cell_angle_gamma 90.00
_symmetry_space_group_name_H-M 'P 1'
_symmetry_Int_Tables_number 1
_symmetry_space_group_name_Hall 'P 1'
loop_
_atom_site_label
_atom_site_fract_x
_atom_site_fract_y
_atom_site_fract_z
Ta1 0.0000 0.0000 0.9221
Ta2 0.0000 0.0000 0.5779
Sc1 0.5000 0.5000 0.7500
Ba1 0.5000 0.5000 0.2500
# Symmetry = No. 123

---

# BaScCr2 GGA-PBE optimized geometry
data_BaScCr2
_chemical_formula_sum 'Ba1 Sc1 Cr2'
_cell_length_a 7.0091
_cell_length_b 7.0091
_cell_length_c 7.0091
_cell_angle_alpha 150.25
_cell_angle_beta 140.39
_cell_angle_gamma 50.31
_symmetry_space_group_name_H-M 'P 1'
_symmetry_Int_Tables_number 1
_symmetry_space_group_name_Hall 'P 1'
loop_
_atom_site_label
_atom_site_fract_x
_atom_site_fract_y
_atom_site_fract_z
Cr1 0.9649 0.9649 0.0000
Sc1 0.4743 0.4743 0.0000
Cr2 0.8510 0.3510 0.5000
Ba1 0.2098 0.7098 0.5000
# Symmetry = No. 44

---

# YCu2P GGA-PBE optimized geometry
data_YCu2P
_chemical_formula_sum 'Y1 Cu2 P1'
_cell_length_a 4.5570
_cell_length_b 4.5570
_cell_length_c 4.5570
_cell_angle_alpha 119.95
_cell_angle_beta 119.95
_cell_angle_gamma 90.08
_symmetry_space_group_name_H-M 'P 1'
_symmetry_Int_Tables_number 1
_symmetry_space_group_name_Hall 'P 1'
loop_
_atom_site_label
_atom_site_fract_x
_atom_site_fract_y
_atom_site_fract_z
Y1 0.7500 0.2500 0.5000
P1 0.5000 0.5000 0.0000
Cu1 0.0000 0.0000 0.0000
Cu2 0.2500 0.7500 0.5000
# Symmetry = No. 119

---

Number 1: total moment 0.00 Bohr magnetons per cell, ΔE_f 0.79 eV per atom. Number 2: total moment 0.11 Bohr magnetons per cell, ΔE_f 0.63 eV per atom. Number 3: total moment 0.00 Bohr magnetons per cell, ΔE_f -0.26 eV per atom.